{
  "formula": "KUSeS",
  "functional": "PBE",
  "state": "relaxed",
  "dos_at_fermi_per_ev_atom": 0.99,
  "mass_density_g_cm3": 5.737,
  "spacegroup": "R3m (160)",
  "formation_energy_uncorrected_ev_per_atom": -1.29,
  "lattice": [[-1.740, 0.255, -3.686], [3.283, -2.367, 0.549], [-4.556, -5.383, 4.040]],
  "species": ["S", "Se", "U", "K"],
  "frac_coords": [[0.107, 0.951, 0.074], [0.499, 0.147, 0.661], [0.312, 0.554, 0.881], [0.960, 0.378, 0.354]]
}